1.
First-principles (GGA-PBEsol) data for crystalline LiNiAs3 at its relaxed geometry, as listed in Alexandria via LeMat-Bulk.

Computed properties:
The space group is No. 221. As for the energy relative to the elements: 207 meV/atom. The calculation puts the energy at -4.482 eV per atom. The value obtained for the size of the total moment is 0.00 μB/cell.

Cell lengths 4.617, 4.617, 4.617 Å; angles 90.00, 90.00, 90.00 degrees
Sites, in units of the cell vectors:
Li 0.000 0.000 0.000
Ni 0.500 0.500 0.500
As 0.000 0.500 0.500
As 0.500 0.000 0.500
As 0.500 0.500 0.000

***

2.
First-principles (GGA-PBEsol) data for crystalline ScZn2Re at its relaxed geometry, as listed in Alexandria via LeMat-Bulk.

Computed properties:
The space group is No. 65. As for the energy relative to the elements: 3 meV/atom. The calculation puts the energy at -5.773 eV per atom. The value obtained for the size of the total moment is 0.00 μB/cell.

Cell lengths 5.425, 8.013, 2.761 Å; angles 90.00, 90.00, 90.00 degrees
Sites, in units of the cell vectors:
Sc 0.000 0.000 0.000
Sc 0.500 0.500 0.000
Zn 0.250 0.250 0.500
Zn 0.250 0.750 0.500
Zn 0.750 0.250 0.500
Zn 0.750 0.750 0.500
Re 0.000 0.500 0.000
Re 0.500 0.000 0.000